Arrangement a

# Mg2Ni2Hg PBE-GGA optimized geometry
# - Density: 7.548 g cm⁻³
data_Mg2Ni2Hg
_chemical_formula_sum 'Mg4 Ni4 Hg2'
_cell_length_a 7.4726
_cell_length_b 7.4726
_cell_length_c 2.8884
_cell_angle_alpha 90.00
_cell_angle_beta 90.00
_cell_angle_gamma 90.00
_symmetry_space_group_name_H-M 'P 4/m b m'
_symmetry_Int_Tables_number 127
_symmetry_space_group_name_Hall '-P 4 2ab'
loop_
_atom_site_label
_atom_site_fract_x
_atom_site_fract_y
_atom_site_fract_z
Mg1 0.1390 0.3610 0.0000
Ni1 0.1543 0.6543 0.5000
Hg1 0.0000 0.0000 0.0000

***

Arrangement b

# Mg2Ni2Hg PBE-GGA optimized geometry
# - Density: 6.868 g cm⁻³
data_Mg2Ni2Hg
_chemical_formula_sum 'Mg4 Ni4 Hg2'
_cell_length_a 3.3472
_cell_length_b 3.3472
_cell_length_c 15.8215
_cell_angle_alpha 90.00
_cell_angle_beta 90.00
_cell_angle_gamma 90.00
_symmetry_space_group_name_H-M 'I 4/m m m'
_symmetry_Int_Tables_number 139
_symmetry_space_group_name_Hall '-I 4 2'
loop_
_atom_site_label
_atom_site_fract_x
_atom_site_fract_y
_atom_site_fract_z
Mg1 0.0000 0.0000 0.1202
Ni1 0.0000 0.5000 0.2500
Hg1 0.0000 0.0000 0.5000

***

Arrangement c

# Mg2Ni2Hg PBE-GGA optimized geometry
# - Density: 7.364 g cm⁻³
data_Mg2Ni2Hg
_chemical_formula_sum 'Mg4 Ni4 Hg2'
_cell_length_a 6.7156
_cell_length_b 6.7156
_cell_length_c 3.6660
_cell_angle_alpha 90.00
_cell_angle_beta 90.00
_cell_angle_gamma 90.00
_symmetry_space_group_name_H-M 'P 4/m b m'
_symmetry_Int_Tables_number 127
_symmetry_space_group_name_Hall '-P 4 2ab'
loop_
_atom_site_label
_atom_site_fract_x
_atom_site_fract_y
_atom_site_fract_z
Mg1 0.1663 0.3337 0.0000
Ni1 0.1253 0.6253 0.5000
Hg1 0.0000 0.0000 0.5000

***

The most stable of them is arrangement c.

***

Arrangement a

# Mg2HgO2 PBE-GGA optimized geometry
# - Density: 6.792 g cm⁻³
data_Mg2HgO2
_chemical_formula_sum 'Mg4 Hg2 O4'
_cell_length_a 6.8774
_cell_length_b 6.8774
_cell_length_c 2.9069
_cell_angle_alpha 90.00
_cell_angle_beta 90.00
_cell_angle_gamma 90.00
_symmetry_space_group_name_H-M 'P 4/m b m'
_symmetry_Int_Tables_number 127
_symmetry_space_group_name_Hall '-P 4 2ab'
loop_
_atom_site_label
_atom_site_fract_x
_atom_site_fract_y
_atom_site_fract_z
Mg1 0.1265 0.3735 0.0000
Hg1 0.0000 0.0000 0.0000
O1 0.1296 0.6296 0.5000

***

Arrangement b

# Mg2HgO2 PBE-GGA optimized geometry
# - Density: 4.378 g cm⁻³
data_Mg2HgO2
_chemical_formula_sum 'Mg4 Hg2 O4'
_cell_length_a 4.0121
_cell_length_b 4.0121
_cell_length_c 13.2528
_cell_angle_alpha 90.00
_cell_angle_beta 90.00
_cell_angle_gamma 90.00
_symmetry_space_group_name_H-M 'I 4/m m m'
_symmetry_Int_Tables_number 139
_symmetry_space_group_name_Hall '-I 4 2'
loop_
_atom_site_label
_atom_site_fract_x
_atom_site_fract_y
_atom_site_fract_z
Mg1 0.0000 0.0000 0.2505
Hg1 0.0000 0.0000 0.0000
O1 0.0000 0.5000 0.2500

***

The most stable of them is arrangement b.

***

Arrangement a

# MgHgO PBE-GGA optimized geometry
# - Density: 7.376 g cm⁻³
data_MgHgO
_chemical_formula_sum 'Mg1 Hg1 O1'
_cell_length_a 2.8830
_cell_length_b 6.5228
_cell_length_c 2.8839
_cell_angle_alpha 90.00
_cell_angle_beta 90.00
_cell_angle_gamma 90.00
_symmetry_space_group_name_H-M 'P m m 2'
_symmetry_Int_Tables_number 25
_symmetry_space_group_name_Hall 'P 2 -2'
loop_
_atom_site_label
_atom_site_fract_x
_atom_site_fract_y
_atom_site_fract_z
Mg1 0.0000 0.0000 0.0000
Hg1 0.5000 0.5000 0.4911
O1 0.5000 0.0000 0.5001

***

Arrangement b

# MgHgO PBE-GGA optimized geometry
# - Density: 7.144 g cm⁻³
data_MgHgO
_chemical_formula_sum 'Mg2 Hg2 O2'
_cell_length_a 2.8459
_cell_length_b 5.7335
_cell_length_c 6.9706
_cell_angle_alpha 89.98
_cell_angle_beta 79.93
_cell_angle_gamma 90.00
_symmetry_space_group_name_H-M 'P 1'
_symmetry_Int_Tables_number 1
_symmetry_space_group_name_Hall 'P 1'
loop_
_atom_site_label
_atom_site_fract_x
_atom_site_fract_y
_atom_site_fract_z
Mg1 0.0000 0.0000 0.0000
Mg2 0.0000 0.5000 0.0000
Hg1 0.2959 0.2462 0.4478
Hg2 0.6765 0.7462 0.5521
O1 0.5002 0.2500 0.9989
O2 0.4996 0.7500 0.0011

***

The most stable of them is arrangement b.

***

Arrangement a

# MgHgO PBE-GGA optimized geometry
# - Density: 6.537 g cm⁻³
data_MgHgO
_chemical_formula_sum 'Mg1 Hg1 O1'
_cell_length_a 3.3343
_cell_length_b 3.3343
_cell_length_c 6.3555
_cell_angle_alpha 90.00
_cell_angle_beta 90.00
_cell_angle_gamma 120.00
_symmetry_space_group_name_H-M 'P -6 m 2'
_symmetry_Int_Tables_number 187
_symmetry_space_group_name_Hall 'P -6 2'
loop_
_atom_site_label
_atom_site_fract_x
_atom_site_fract_y
_atom_site_fract_z
Mg1 0.0000 0.0000 0.0000
Hg1 0.3333 0.6667 0.5000
O1 0.6667 0.3333 0.0000

***

Arrangement b

# MgHgO PBE-GGA optimized geometry
# - Density: 7.145 g cm⁻³
data_MgHgO
_chemical_formula_sum 'Mg2 Hg2 O2'
_cell_length_a 2.8455
_cell_length_b 5.7342
_cell_length_c 7.5328
_cell_angle_alpha 67.77
_cell_angle_beta 80.57
_cell_angle_gamma 90.00
_symmetry_space_group_name_H-M 'P -1'
_symmetry_Int_Tables_number 2
_symmetry_space_group_name_Hall '-P 1'
loop_
_atom_site_label
_atom_site_fract_x
_atom_site_fract_y
_atom_site_fract_z
Mg1 0.9999 0.2479 0.0000
Hg1 0.3081 0.2752 0.4494
O1 0.5000 0.0000 0.0000
O2 0.5000 0.5000 0.0000

***

Arrangement c

# MgHgO PBE-GGA optimized geometry
# - Density: 6.169 g cm⁻³
data_MgHgO
_chemical_formula_sum 'Mg2 Hg2 O2'
_cell_length_a 3.9451
_cell_length_b 3.9466
_cell_length_c 8.3290
_cell_angle_alpha 90.04
_cell_angle_beta 90.32
_cell_angle_gamma 90.00
_symmetry_space_group_name_H-M 'P 1'
_symmetry_Int_Tables_number 1
_symmetry_space_group_name_Hall 'P 1'
loop_
_atom_site_label
_atom_site_fract_x
_atom_site_fract_y
_atom_site_fract_z
Mg1 0.0000 0.0000 0.0000
Mg2 0.5001 0.5000 0.0003
Hg1 0.0100 0.4913 0.3832
Hg2 0.5134 0.9918 0.6176
O1 0.9996 0.4999 0.9555
O2 0.5007 0.0000 0.0450

***

The most stable of them is arrangement c.

***

Arrangement a

# Mg3HgO PBE-GGA optimized geometry
# - Density: 5.893 g cm⁻³
data_Mg3HgO
_chemical_formula_sum 'Mg3 Hg1 O1'
_cell_length_a 4.3370
_cell_length_b 4.3370
_cell_length_c 4.3370
_cell_angle_alpha 90.00
_cell_angle_beta 90.00
_cell_angle_gamma 90.00
_symmetry_space_group_name_H-M 'P m -3 m'
_symmetry_Int_Tables_number 221
_symmetry_space_group_name_Hall '-P 4 2 3'
loop_
_atom_site_label
_atom_site_fract_x
_atom_site_fract_y
_atom_site_fract_z
Mg1 0.0000 0.0000 0.5000
Hg1 0.5000 0.5000 0.5000
O1 0.0000 0.0000 0.0000

***

Arrangement b

# Mg3HgO PBE-GGA optimized geometry
# - Density: 3.530 g cm⁻³
data_Mg3HgO
_chemical_formula_sum 'Mg3 Hg1 O1'
_cell_length_a 5.1450
_cell_length_b 5.1450
_cell_length_c 5.1450
_cell_angle_alpha 90.00
_cell_angle_beta 90.00
_cell_angle_gamma 90.00
_symmetry_space_group_name_H-M 'P m -3 m'
_symmetry_Int_Tables_number 221
_symmetry_space_group_name_Hall '-P 4 2 3'
loop_
_atom_site_label
_atom_site_fract_x
_atom_site_fract_y
_atom_site_fract_z
Mg1 0.0000 0.0000 0.5000
Hg1 0.0000 0.0000 0.0000
O1 0.5000 0.5000 0.5000

***

The most stable of them is arrangement a.

***

Arrangement a

# MgHg3O PBE-GGA optimized geometry
# - Density: 6.380 g cm⁻³
data_MgHg3O
_chemical_formula_sum 'Mg1 Hg3 O1'
_cell_length_a 5.5080
_cell_length_b 5.5080
_cell_length_c 5.5080
_cell_angle_alpha 90.00
_cell_angle_beta 90.00
_cell_angle_gamma 90.00
_symmetry_space_group_name_H-M 'P m -3 m'
_symmetry_Int_Tables_number 221
_symmetry_space_group_name_Hall '-P 4 2 3'
loop_
_atom_site_label
_atom_site_fract_x
_atom_site_fract_y
_atom_site_fract_z
Mg1 0.0000 0.0000 0.0000
Hg1 0.0000 0.0000 0.5000
O1 0.5000 0.5000 0.5000

***

Arrangement b

# MgHg3O PBE-GGA optimized geometry
# - Density: 9.142 g cm⁻³
data_MgHg3O
_chemical_formula_sum 'Mg1 Hg3 O1'
_cell_length_a 4.8858
_cell_length_b 4.8858
_cell_length_c 4.8858
_cell_angle_alpha 90.00
_cell_angle_beta 90.00
_cell_angle_gamma 90.00
_symmetry_space_group_name_H-M 'P m -3 m'
_symmetry_Int_Tables_number 221
_symmetry_space_group_name_Hall '-P 4 2 3'
loop_
_atom_site_label
_atom_site_fract_x
_atom_site_fract_y
_atom_site_fract_z
Mg1 0.0000 0.0000 0.0000
Hg1 0.0000 0.5000 0.5000
O1 0.5000 0.5000 0.5000

***

The most stable of them is arrangement b.

***

Arrangement a

# Mg2TcHgO PBE-GGA optimized geometry
# - Density: 4.413 g cm⁻³
data_Mg2TcHgO
_chemical_formula_sum 'Mg2 Tc1 Hg1 O1'
_cell_length_a 5.1391
_cell_length_b 5.1391
_cell_length_c 5.1750
_cell_angle_alpha 90.00
_cell_angle_beta 90.00
_cell_angle_gamma 90.00
_symmetry_space_group_name_H-M 'P 4/m m m'
_symmetry_Int_Tables_number 123
_symmetry_space_group_name_Hall '-P 4 2'
loop_
_atom_site_label
_atom_site_fract_x
_atom_site_fract_y
_atom_site_fract_z
Mg1 0.0000 0.5000 0.0000
Tc1 0.0000 0.0000 0.5000
Hg1 0.0000 0.0000 0.0000
O1 0.5000 0.5000 0.5000

***

Arrangement b

# Mg2TcHgO PBE-GGA optimized geometry
# - Density: 5.189 g cm⁻³
data_Mg2TcHgO
_chemical_formula_sum 'Mg2 Tc1 Hg1 O1'
_cell_length_a 5.3588
_cell_length_b 5.3588
_cell_length_c 4.0472
_cell_angle_alpha 90.00
_cell_angle_beta 90.00
_cell_angle_gamma 90.00
_symmetry_space_group_name_H-M 'P 4/m m m'
_symmetry_Int_Tables_number 123
_symmetry_space_group_name_Hall '-P 4 2'
loop_
_atom_site_label
_atom_site_fract_x
_atom_site_fract_y
_atom_site_fract_z
Mg1 0.0000 0.5000 0.0000
Tc1 0.0000 0.0000 0.5000
Hg1 0.5000 0.5000 0.0000
O1 0.5000 0.5000 0.5000

***

The most stable of them is arrangement b.

***

Arrangement a

# MgHgOs PBE-GGA optimized geometry
# - Density: 13.118 g cm⁻³
data_MgHgOs
_chemical_formula_sum 'Mg2 Hg2 Os2'
_cell_length_a 2.7924
_cell_length_b 4.2358
_cell_length_c 8.8856
_cell_angle_alpha 90.00
_cell_angle_beta 90.00
_cell_angle_gamma 90.00
_symmetry_space_group_name_H-M 'I m m 2'
_symmetry_Int_Tables_number 44
_symmetry_space_group_name_Hall 'I 2 -2'
loop_
_atom_site_label
_atom_site_fract_x
_atom_site_fract_y
_atom_site_fract_z
Mg1 0.0000 0.0000 0.0000
Hg1 0.0000 0.0000 0.3229
Os1 0.0000 0.0000 0.6497

***

Arrangement b

# MgHgOs PBE-GGA optimized geometry
# - Density: 13.039 g cm⁻³
data_MgHgOs
_chemical_formula_sum 'Mg1 Hg1 Os1'
_cell_length_a 2.9550
_cell_length_b 2.9550
_cell_length_c 6.9909
_cell_angle_alpha 90.00
_cell_angle_beta 90.00
_cell_angle_gamma 120.00
_symmetry_space_group_name_H-M 'P 3 m 1'
_symmetry_Int_Tables_number 156
_symmetry_space_group_name_Hall 'P 3 -2"'
loop_
_atom_site_label
_atom_site_fract_x
_atom_site_fract_y
_atom_site_fract_z
Mg1 0.0000 0.0000 0.0000
Hg1 0.3333 0.6667 0.6499
Os1 0.6667 0.3333 0.3027

***

The most stable of them is arrangement b.

***

Arrangement a

# MgHgOs PBE-GGA optimized geometry
# - Density: 12.887 g cm⁻³
data_MgHgOs
_chemical_formula_sum 'Mg2 Hg2 Os2'
_cell_length_a 2.8782
_cell_length_b 2.8782
_cell_length_c 12.9148
_cell_angle_alpha 90.00
_cell_angle_beta 90.00
_cell_angle_gamma 90.00
_symmetry_space_group_name_H-M 'I 4 m m'
_symmetry_Int_Tables_number 107
_symmetry_space_group_name_Hall 'I 4 -2'
loop_
_atom_site_label
_atom_site_fract_x
_atom_site_fract_y
_atom_site_fract_z
Mg1 0.0000 0.0000 0.0000
Hg1 0.0000 0.0000 0.3174
Os1 0.0000 0.0000 0.6465

***

Arrangement b

# MgHgOs PBE-GGA optimized geometry
# - Density: 13.001 g cm⁻³
data_MgHgOs
_chemical_formula_sum 'Mg4 Hg4 Os4'
_cell_length_a 3.3078
_cell_length_b 4.6530
_cell_length_c 13.7800
_cell_angle_alpha 90.00
_cell_angle_beta 90.00
_cell_angle_gamma 90.00
_symmetry_space_group_name_H-M 'F m m 2'
_symmetry_Int_Tables_number 42
_symmetry_space_group_name_Hall 'F 2 -2'
loop_
_atom_site_label
_atom_site_fract_x
_atom_site_fract_y
_atom_site_fract_z
Mg1 0.0000 0.0000 0.0000
Hg1 0.0000 0.0000 0.3241
Os1 0.0000 0.0000 0.6498

***

The most stable of them is arrangement a.

***

Arrangement a

# MgHgP2 PBE-GGA optimized geometry
# - Density: 5.831 g cm⁻³
data_MgHgP2
_chemical_formula_sum 'Mg1 Hg1 P2'
_cell_length_a 2.8378
_cell_length_b 2.8378
_cell_length_c 10.1442
_cell_angle_alpha 90.00
_cell_angle_beta 90.00
_cell_angle_gamma 90.00
_symmetry_space_group_name_H-M 'P 4/m m m'
_symmetry_Int_Tables_number 123
_symmetry_space_group_name_Hall '-P 4 2'
loop_
_atom_site_label
_atom_site_fract_x
_atom_site_fract_y
_atom_site_fract_z
Mg1 0.0000 0.0000 0.0000
Hg1 0.0000 0.0000 0.5000
P1 0.5000 0.5000 0.1870

***

Arrangement b

# MgHgP2 PBE-GGA optimized geometry
# - Density: 5.629 g cm⁻³
data_MgHgP2
_chemical_formula_sum 'Mg2 Hg2 P4'
_cell_length_a 4.8559
_cell_length_b 4.7973
_cell_length_c 7.2647
_cell_angle_alpha 90.00
_cell_angle_beta 90.00
_cell_angle_gamma 90.00
_symmetry_space_group_name_H-M 'A m m 2'
_symmetry_Int_Tables_number 38
_symmetry_space_group_name_Hall 'A 2 -2'
loop_
_atom_site_label
_atom_site_fract_x
_atom_site_fract_y
_atom_site_fract_z
Mg1 0.0000 0.0000 0.0000
Hg1 0.5000 0.0000 0.6462
P1 0.0000 0.0000 0.3582
P2 0.5000 0.0000 0.2576

***

The most stable of them is arrangement b.

***

Arrangement a

# MgHgP2 PBE-GGA optimized geometry
# - Density: 4.863 g cm⁻³
data_MgHgP2
_chemical_formula_sum 'Mg1 Hg1 P2'
_cell_length_a 3.4939
_cell_length_b 3.4939
_cell_length_c 8.0243
_cell_angle_alpha 90.00
_cell_angle_beta 90.00
_cell_angle_gamma 90.00
_symmetry_space_group_name_H-M 'P 4/m m m'
_symmetry_Int_Tables_number 123
_symmetry_space_group_name_Hall '-P 4 2'
loop_
_atom_site_label
_atom_site_fract_x
_atom_site_fract_y
_atom_site_fract_z
Mg1 0.0000 0.0000 0.0000
Hg1 0.0000 0.0000 0.5000
P1 0.5000 0.5000 0.1336

***

Arrangement b

# MgHgP2 PBE-GGA optimized geometry
# - Density: 6.039 g cm⁻³
data_MgHgP2
_chemical_formula_sum 'Mg1 Hg1 P2'
_cell_length_a 3.7186
_cell_length_b 3.9017
_cell_length_c 5.4366
_cell_angle_alpha 90.00
_cell_angle_beta 90.00
_cell_angle_gamma 90.00
_symmetry_space_group_name_H-M 'P m m m'
_symmetry_Int_Tables_number 47
_symmetry_space_group_name_Hall '-P 2 2'
loop_
_atom_site_label
_atom_site_fract_x
_atom_site_fract_y
_atom_site_fract_z
Mg1 0.0000 0.0000 0.0000
Hg1 0.5000 0.5000 0.5000
P1 0.0000 0.0000 0.5000
P2 0.5000 0.5000 0.0000

***

The most stable of them is arrangement a.

***

Arrangement a

# MgHgP PBE-GGA optimized geometry
# - Density: 6.880 g cm⁻³
data_MgHgP
_chemical_formula_sum 'Mg4 Hg4 P4'
_cell_length_a 4.5891
_cell_length_b 4.6161
_cell_length_c 11.6615
_cell_angle_alpha 90.00
_cell_angle_beta 90.00
_cell_angle_gamma 90.00
_symmetry_space_group_name_H-M 'F m m 2'
_symmetry_Int_Tables_number 42
_symmetry_space_group_name_Hall 'F 2 -2'
loop_
_atom_site_label
_atom_site_fract_x
_atom_site_fract_y
_atom_site_fract_z
Mg1 0.0000 0.0000 0.0000
Hg1 0.0000 0.0000 0.3070
P1 0.0000 0.0000 0.6177

***

Arrangement b

# MgHgP PBE-GGA optimized geometry
# - Density: 6.492 g cm⁻³
data_MgHgP
_chemical_formula_sum 'Mg4 Hg4 P4'
_cell_length_a 6.3971
_cell_length_b 6.3971
_cell_length_c 6.3971
_cell_angle_alpha 90.00
_cell_angle_beta 90.00
_cell_angle_gamma 90.00
_symmetry_space_group_name_H-M 'F -4 3 m'
_symmetry_Int_Tables_number 216
_symmetry_space_group_name_Hall 'F -4 2 3'
loop_
_atom_site_label
_atom_site_fract_x
_atom_site_fract_y
_atom_site_fract_z
Mg1 0.0000 0.0000 0.0000
Hg1 0.2500 0.2500 0.2500
P1 0.2500 0.2500 0.7500

***

Arrangement c

# MgHgP PBE-GGA optimized geometry
# - Density: 6.546 g cm⁻³
data_MgHgP
_chemical_formula_sum 'Mg1 Hg1 P1'
_cell_length_a 4.1348
_cell_length_b 4.1348
_cell_length_c 4.3839
_cell_angle_alpha 90.00
_cell_angle_beta 90.00
_cell_angle_gamma 120.00
_symmetry_space_group_name_H-M 'P 3 m 1'
_symmetry_Int_Tables_number 156
_symmetry_space_group_name_Hall 'P 3 -2"'
loop_
_atom_site_label
_atom_site_fract_x
_atom_site_fract_y
_atom_site_fract_z
Mg1 0.0000 0.0000 0.0000
Hg1 0.3333 0.6667 0.5644
P1 0.6667 0.3333 0.2241

***

The most stable of them is arrangement c.